Entry 1:
A plane-wave DFT calculation with PBE was carried out for a geometry-optimized Sr2Hg2Pd5Pt structure.

POSCAR file:
```
Sr2Hg2Pd5Pt
1.0
10.319 0.000 0.000
0.000 10.319 0.000
0.000 0.000 3.912
Sr Hg Pd Pt
4 4 10 2
Direct
0.173 0.327 0.000
0.327 0.827 0.000
0.673 0.173 0.000
0.827 0.673 0.000
0.128 0.628 0.000
0.372 0.128 0.000
0.628 0.872 0.000
0.872 0.372 0.000
0.000 0.500 0.500
0.054 0.810 0.500
0.190 0.054 0.500
0.310 0.554 0.500
0.446 0.310 0.500
0.500 0.000 0.500
0.554 0.690 0.500
0.690 0.446 0.500
0.810 0.946 0.500
0.946 0.190 0.500
0.000 0.000 0.000
0.500 0.500 0.000
```

Values from the calculation:
Calculated volume = 20.8 A^3/atom
Space-group type = P4/mbm, No. 127
DOS(E_F) = 8.1 states/eV per cell
Formation energy from the elements = -7.53 kcal/mol of atoms
Total energy = -78.476 eV for the cell shown

=====

Entry 2:
A plane-wave DFT calculation with PBE was carried out for a geometry-optimized Sr2HgPd5Pt2 structure.

POSCAR file:
```
Sr2HgPd5Pt2
1.0
9.923 0.000 0.000
0.000 9.923 0.000
0.000 0.000 4.068
Sr Hg Pd Pt
4 2 10 4
Direct
0.173 0.327 0.000
0.327 0.827 0.000
0.673 0.173 0.000
0.827 0.673 0.000
0.000 0.000 0.000
0.500 0.500 0.000
0.000 0.500 0.500
0.063 0.799 0.500
0.201 0.063 0.500
0.299 0.563 0.500
0.437 0.299 0.500
0.500 0.000 0.500
0.563 0.701 0.500
0.701 0.437 0.500
0.799 0.937 0.500
0.937 0.201 0.500
0.124 0.624 0.000
0.376 0.124 0.000
0.624 0.876 0.000
0.876 0.376 0.000
```

Values from the calculation:
Calculated volume = 20.0 A^3/atom
Space-group type = P4/mbm, No. 127
DOS(E_F) = 12.3 states/eV per cell
Formation energy from the elements = -9.63 kcal/mol of atoms
Total energy = -91.779 eV for the cell shown